{
  "formula": "Th2RePd",
  "functional": "PBE-GGA",
  "state": "relaxed",
  "lattice_angstrom": [[3.396, 0.000, 0.000], [1.698, 2.941, 0.000], [1.698, 0.980, 9.911]],
  "species": ["Re", "Pd", "Th", "Th"],
  "frac_coords": [[0.500, 0.500, 0.500], [0.000, 0.000, 0.000], [0.092, 0.092, 0.725], [0.908, 0.908, 0.275]],
  "total_energy_ha_per_atom": -0.28535,
  "magnetic_moment_mub_per_atom": 0.000,
  "spacegroup": "R-3m, No. 166"
}